The following is a PBE-GGA calculation of a relaxed PtPb5Au2 crystal, from Alexandria via LeMat-Bulk.

Unit cell a=4.3658 b=7.7939 c=12.4309 alpha=90.00 beta=90.00 gamma=90.00
Positions (direct):
Pb  0.0000  0.1710  0.3001
Pt  0.0000  0.5000  0.0000
Au  0.5000  0.5453  0.6807
Pb  0.0000  0.8290  0.6999
Pb  0.0000  0.3290  0.8001
Au  0.5000  0.4547  0.3193
Pt  0.0000  0.0000  0.5000
Pb  0.5000  0.6800  0.9101
Au  0.5000  0.9547  0.1807
Pb  0.5000  0.3200  0.0899
Pb  0.5000  0.1800  0.5899
Pb  0.0000  0.0000  0.0000
Au  0.5000  0.0453  0.8193
Pb  0.0000  0.6710  0.1999
Pb  0.0000  0.5000  0.5000
Pb  0.5000  0.8200  0.4101

**Crystal system**: orthorhombic
**Energy**: -3.988 eV/atom
**Space-group type**: Pbam
**Total magnetization**: 0.00 μB/atom
**Energy of formation from the pure elements**: -0.77 eV/f.u.